1.
Density functional theory data (PBE) for an optimized crystal structure of Ac4MgAg2.

Structure (CIF):
```
data_Ac4MgAg2
_chemical_formula_sum 'Ac12 Mg3 Ag6'
_space_group_name_H-M_alt 'R -3 m'
_space_group_IT_number 166
_space_group_name_Hall '-R 3 2"'
_cell_length_a 5.6375
_cell_length_b 5.6375
_cell_length_c 27.0463
_cell_angle_alpha 90.00
_cell_angle_beta 90.00
_cell_angle_gamma 120.00
loop_
_atom_site_label
_atom_site_type_symbol
_atom_site_fract_x
_atom_site_fract_y
_atom_site_fract_z
_atom_site_occupancy
Ac1 Ac 0.0000 0.0000 0.1187 1
Ac2 Ac 0.0000 0.0000 0.3708 1
Mg1 Mg 0.0000 0.0000 0.5000 1
Ag1 Ag 0.0000 0.0000 0.2449 1
```

Results
The calculation puts the relative energy among the computed polymorphs at 0.000 eV per atom. The volume comes out at 35.45 Å³ per atom. As for the formation energy: -5.7 kJ per mole of atoms. The density is 7683 kg/m3.



2.
Density functional theory data (PBE) for an optimized crystal structure of Sc4Co3Ag.

Structure (CIF):
```
data_Sc4Co3Ag
_chemical_formula_sum 'Sc4 Co3 Ag1'
_space_group_name_H-M_alt 'P 4/m m m'
_space_group_IT_number 123
_space_group_name_Hall '-P 4 2'
_cell_length_a 4.521
_cell_length_b 4.521
_cell_length_c 6.467
_cell_angle_alpha 90.00
_cell_angle_beta 90.00
_cell_angle_gamma 90.00
loop_
_atom_site_label
_atom_site_type_symbol
_atom_site_fract_x
_atom_site_fract_y
_atom_site_fract_z
_atom_site_occupancy
Sc1 Sc 0.000 0.500 0.236 1
Co1 Co 0.000 0.000 0.000 1
Co2 Co 0.000 0.000 0.500 1
Co3 Co 0.500 0.500 0.000 1
Ag1 Ag 0.500 0.500 0.500 1
```

Results
The volume comes out at 16.52 Å³ per atom. As for the formation energy: -28.7 kJ per mole of atoms. The density is 5835 kg/m3.



3.
Density functional theory data (PBE) for an optimized crystal structure of PtRhAu.

Structure (CIF):
```
data_PtRhAu
_chemical_formula_sum 'Pt4 Rh4 Au4'
_space_group_name_H-M_alt 'C 1 2/m 1'
_space_group_IT_number 12
_space_group_name_Hall '-C 2y'
_cell_length_a 14.680
_cell_length_b 2.822
_cell_length_c 4.901
_cell_angle_alpha 90.00
_cell_angle_beta 109.49
_cell_angle_gamma 90.00
loop_
_atom_site_label
_atom_site_type_symbol
_atom_site_fract_x
_atom_site_fract_y
_atom_site_fract_z
_atom_site_occupancy
Pt1 Pt 0.088 0.000 0.427 1
Rh1 Rh 0.249 0.500 0.741 1
Au1 Au 0.085 0.500 0.920 1
```

Results
The calculation puts the relative energy among the computed polymorphs at 0.031 eV per atom. The volume comes out at 15.95 Å³ per atom. As for the formation energy: 11.6 kJ per mole of atoms. The density is 17174 kg/m3.



4.
Density functional theory data (PBE) for an optimized crystal structure of UTi3O8.

Structure (CIF):
```
data_UTi3O8
_chemical_formula_sum 'U2 Ti6 O16'
_space_group_name_H-M_alt 'C 1 m 1'
_space_group_IT_number 8
_space_group_name_Hall 'C -2y'
_cell_length_a 12.705
_cell_length_b 4.004
_cell_length_c 6.779
_cell_angle_alpha 90.00
_cell_angle_beta 106.29
_cell_angle_gamma 90.00
loop_
_atom_site_label
_atom_site_type_symbol
_atom_site_fract_x
_atom_site_fract_y
_atom_site_fract_z
_atom_site_occupancy
U1 U 0.000 0.000 0.000 1
Ti1 Ti 0.109 0.000 0.592 1
Ti2 Ti 0.302 0.000 0.002 1
Ti3 Ti 0.404 0.000 0.568 1
O1 O 0.065 0.500 0.604 1
O2 O 0.076 0.000 0.315 1
O3 O 0.150 0.000 0.923 1
O4 O 0.263 0.000 0.659 1
O5 O 0.330 0.500 0.006 1
O6 O 0.349 0.000 0.294 1
O7 O 0.441 0.500 0.636 1
O8 O 0.451 0.000 0.928 1
```

Results
The volume comes out at 13.79 Å³ per atom. The total DFT energy (no corrections) is -220.82 eV/cell. The density is 5113 kg/m3.



5.
Density functional theory data (PBE) for an optimized crystal structure of Nd3ThTe6.

Structure (CIF):
```
data_Nd3ThTe6
_chemical_formula_sum 'Nd9 Th3 Te18'
_space_group_name_H-M_alt 'R 3'
_space_group_IT_number 146
_space_group_name_Hall 'R 3'
_cell_length_a 7.8919
_cell_length_b 7.8919
_cell_length_c 21.8669
_cell_angle_alpha 90.00
_cell_angle_beta 90.00
_cell_angle_gamma 120.00
loop_
_atom_site_label
_atom_site_type_symbol
_atom_site_fract_x
_atom_site_fract_y
_atom_site_fract_z
_atom_site_occupancy
Nd1 Nd 0.0000 0.0000 0.0000 1
Nd2 Nd 0.0000 0.0000 0.1845 1
Nd3 Nd 0.0000 0.0000 0.4976 1
Th1 Th 0.0000 0.0000 0.6815 1
Te1 Te 0.0012 0.6886 0.5915 1
Te2 Te 0.0232 0.3459 0.7589 1
```

Results
The calculation puts the relative energy among the computed polymorphs at 0.067 eV per atom. The volume comes out at 39.32 Å³ per atom. The density is 6041 kg/m3.



6.
Density functional theory data (PBE) for an optimized crystal structure of NiGe3N.

Structure (CIF):
```
data_NiGe3N
_chemical_formula_sum 'Ni1 Ge3 N1'
_space_group_name_H-M_alt 'P m -3 m'
_space_group_IT_number 221
_space_group_name_Hall '-P 4 2 3'
_cell_length_a 4.229
_cell_length_b 4.229
_cell_length_c 4.229
_cell_angle_alpha 90.00
_cell_angle_beta 90.00
_cell_angle_gamma 90.00
loop_
_atom_site_label
_atom_site_type_symbol
_atom_site_fract_x
_atom_site_fract_y
_atom_site_fract_z
_atom_site_occupancy
Ni1 Ni 0.000 0.000 0.000 1
Ge1 Ge 0.000 0.500 0.500 1
N1 N 0.500 0.500 0.500 1
```

Results
The calculation puts the relative energy among the computed polymorphs at 0.000 eV per atom. The volume comes out at 15.13 Å³ per atom. The density is 6379 kg/m3.